No. 1
DFT (GGA-PBE) results for a geometry-optimized Ba2LaBr structure.

Results
- DFT total energy: -3.223 eV/atom
- Magnetization: 0.00 μB per cell
- Energy above the most stable polymorph in this dataset: 35 meV per atom

a = 4.650 Å, b = 6.676 Å, c = 11.524 Å
α = 90.00°, β = 90.00°, γ = 90.00°
Space group Cmmm (No. 65)
Asymmetric unit:
Ba 0.000 0.000 0.217 [4 per cell]
La 0.000 0.500 0.500 [2 per cell]
Br 0.000 0.500 0.000 [2 per cell]

=====

No. 2
DFT (GGA-PBE) results for a geometry-optimized Sr2FeCo structure.

Results
- ΔE_f: 0.99 eV/atom
- DFT total energy: -3.744 eV/atom
- Magnetization: 7.53 μB per cell
- Energy above the most stable polymorph in this dataset: 791 meV per atom

a = 9.074 Å, b = 3.875 Å, c = 6.589 Å
α = 90.00°, β = 105.13°, γ = 90.00°
Space group C2/m (No. 12)
Asymmetric unit:
Sr 0.242 0.000 0.239 [4 per cell]
Fe 0.000 0.000 0.500 [2 per cell]
Co 0.000 0.500 0.000 [2 per cell]

=====

No. 3
DFT (GGA-PBE) results for a geometry-optimized TbHo2Zn2 structure.

Results
- ΔE_f: -0.27 eV/atom
- DFT total energy: -3.537 eV/atom
- Magnetization: 0.00 μB per cell
- Energy above the most stable polymorph in this dataset: 0 meV per atom

a = 3.593 Å, b = 5.147 Å, c = 13.284 Å
α = 90.00°, β = 97.79°, γ = 90.00°
Space group P2_1/m (No. 11)
Asymmetric unit:
Tb 0.145 0.250 0.287 [2 per cell]
Ho 0.046 0.750 0.092 [2 per cell]
Ho 0.232 0.750 0.465 [2 per cell]
Zn 0.360 0.250 0.720 [2 per cell]
Zn 0.452 0.750 0.903 [2 per cell]

=====

No. 4
DFT (GGA-PBE) results for a geometry-optimized BaTiSn structure.

Results
- ΔE_f: -0.02 eV/atom
- DFT total energy: -4.629 eV/atom
- Magnetization: 3.96 μB per cell
- Energy above the most stable polymorph in this dataset: 282 meV per atom

a = 3.901 Å, b = 3.901 Å, c = 12.207 Å
α = 90.00°, β = 90.00°, γ = 90.00°
Space group I4mm (No. 107)
Asymmetric unit:
Ba 0.000 0.000 0.000 [2 per cell]
Ti 0.000 0.000 0.722 [2 per cell]
Sn 0.000 0.000 0.286 [2 per cell]

=====

What is the energy above the most stable polymorph in this dataset in the second record? 791 meV per atom